Material: LaZrAsSe2
Method: DFT, GGA-PBE
State: relaxed

a b c (Å): 5.5706 5.5706 5.5285
angles (deg): 90.00 90.00 90.00
Space group P4/mmm (No. 123)
Asymmetric unit:
La 0.0000 0.0000 0.0000 [1 per cell]
Zr 0.5000 0.5000 0.5000 [1 per cell]
As 0.0000 0.0000 0.5000 [1 per cell]
Se 0.0000 0.5000 0.0000 [2 per cell]

Properties
energy relative to the lowest polymorph listed for this composition	6.27	eV/f.u.
ρ	4.5	g cm⁻³
energy relative to the elements, uncorrected	164	meV/atom
VASP energy	-24.27	eV for the cell shown